<A>
BaAlZnAu: relaxed, PBE-GGA.

symmetry = No. 216
V = 24.96 A^3/atom

Lattice parameters (Å, degrees): 5.207 5.207 5.207 60.00 60.00 60.00
Sites, in units of the cell vectors:
Zn 0.000 0.000 0.000
Al 0.250 0.250 0.250
Au 0.750 0.750 0.750
Ba 0.500 0.500 0.500

<B>
BaAlZnAu: relaxed, PBE-GGA.

symmetry = No. 216
V = 23.29 A^3/atom

Lattice parameters (Å, degrees): 5.088 5.088 5.088 60.00 60.00 60.00
Sites, in units of the cell vectors:
Ba 0.250 0.250 0.250
Al 0.500 0.500 0.500
Au 0.750 0.750 0.750
Zn 0.000 0.000 0.000

<C>
BaAlZnAu: relaxed, PBE-GGA.

symmetry = No. 216
V = 24.82 A^3/atom

Lattice parameters (Å, degrees): 5.198 5.198 5.198 60.00 60.00 60.00
Sites, in units of the cell vectors:
Al 0.000 0.000 0.000
Au 0.750 0.750 0.750
Zn 0.250 0.250 0.250
Ba 0.500 0.500 0.500

Bottom line: <C>, by a margin of 76 meV per atom.